(1)
Here is a crystal of AlSiRh2 relaxed with PBEsol from Alexandria via LeMat-Bulk. Energies are from SCAN.

Computed properties:
The value obtained for the uncorrected formation energy is -4.04 eV/f.u. Its space group is Cm.

```
AlSiRh2
1.0
2.8533 0.0000 0.0000
0.0000 4.2239 -0.0092
-1.4267 -1.1228 4.3332
Si Rh Al
1 2 1
direct
0.4964 0.4307 0.9927
0.9915 0.9316 0.9831
0.7630 0.3251 0.5259
0.2491 0.8126 0.4983
```

=====

(2)
Here is a crystal of SrAs2WBr relaxed with PBEsol from Alexandria via LeMat-Bulk. Energies are from SCAN.

Computed properties:
The value obtained for the uncorrected formation energy is 7.86 eV/f.u. Its space group is P4/mmm.

```
SrAs2WBr
1.0
5.3792 0.0000 0.0000
0.0000 5.5024 0.0000
0.0000 0.0000 5.5024
Sr As Br W
1 2 1 1
direct
0.0000 0.0000 0.0000
0.0000 0.0000 0.5000
0.0000 0.5000 0.0000
0.5000 0.0000 0.0000
0.5000 0.5000 0.5000
```

=====

(3)
Here is a crystal of Sr2FeAs relaxed with PBEsol from Alexandria via LeMat-Bulk. Energies are from SCAN.

Computed properties:
Its space group is R-3m. The value obtained for the energy of formation from the pure elements is -247 meV/atom.

```
Sr2FeAs
1.0
-1.8512 0.4849 -4.9447
3.3137 -0.3860 -4.1210
-0.1962 -4.1693 -3.1780
As Fe Sr
1 1 2
direct
0.0000 0.0000 0.0000
0.5000 0.5000 0.5000
0.7487 0.7487 0.7538
0.2513 0.2513 0.2462
```

=====

(4)
Here is a crystal of PbBr2 relaxed with PBEsol from Alexandria via LeMat-Bulk. Energies are from SCAN.

Computed properties:
The value obtained for the uncorrected formation energy is -2.78 eV/f.u. Its space group is Pnnm.

```
PbBr2
1.0
-3.0527 1.9405 2.6025
-4.3050 -5.1326 -1.2228
2.5612 -3.4826 5.6009
Pb Br
2 4
direct
0.0000 0.0000 0.0000
0.5000 0.5000 0.5000
0.0000 0.2478 0.6489
0.0000 0.7522 0.3511
0.5000 0.7478 0.8511
0.5000 0.2522 0.1489
```

=====

(5)
Here is a crystal of NaLaHfTa2 relaxed with PBEsol from Alexandria via LeMat-Bulk. Energies are from SCAN.

Computed properties:
Its space group is P4/mmm. The value obtained for the energy of formation from the pure elements is 1879 meV/atom.

```
NaLaHfTa2
1.0
4.8736 0.0000 0.0000
0.0000 4.8736 0.0000
0.0000 0.0000 4.9455
Na La Hf Ta
1 1 1 2
direct
0.0000 0.0000 0.0000
0.5000 0.5000 0.5000
0.0000 0.0000 0.5000
0.0000 0.5000 0.0000
0.5000 0.0000 0.0000
```

=====

(6)
Here is a crystal of RbNb2SiBr relaxed with PBEsol from Alexandria via LeMat-Bulk. Energies are from SCAN.

Computed properties:
The value obtained for the uncorrected formation energy is 3.81 eV/f.u. Its space group is P4/mmm. The value obtained for the energy above the most stable polymorph in this dataset is 0.00 kcal/mol of atoms.

```
RbNb2SiBr
1.0
-4.7503 0.2540 -0.6242
-0.2482 -4.7911 -0.0612
-0.9347 -0.0422 7.0961
Nb Si Br Rb
2 1 1 1
direct
0.0000 0.5000 0.0000
0.5000 0.0000 0.0000
0.0000 0.0000 0.0000
0.0000 0.0000 0.5000
0.5000 0.5000 0.5000
```

=====

(7)
Here is a crystal of MgSbTe2 relaxed with PBEsol from Alexandria via LeMat-Bulk. Energies are from SCAN.

Computed properties:
The value obtained for the uncorrected formation energy is -1.16 eV/f.u. Its space group is C2/m. The value obtained for the energy above the most stable polymorph in this dataset is 3.25 kcal/mol of atoms.

```
MgSbTe2
1.0
-2.8016 0.6068 3.0302
3.8429 -1.8954 1.0615
1.3608 7.2484 -0.1934
Mg Sb Te
1 1 2
direct
0.0000 0.0000 0.5000
0.5000 0.0000 0.0000
0.7347 0.4693 0.7348
0.2653 0.5307 0.2652
```

=====

(8)
Here is a crystal of VCr2O6 relaxed with PBEsol from Alexandria via LeMat-Bulk. Energies are from SCAN.

Computed properties:
The value obtained for the uncorrected formation energy is -21.89 eV/f.u. Its space group is P4_2/mnm.

```
VCr2O6
1.0
-1.7893 4.0570 0.4385
-3.5043 -1.7730 2.1046
4.0166 0.9610 7.4975
V Cr O
2 4 12
direct
0.0000 0.0000 0.0000
0.5000 0.5000 0.5000
0.0000 0.0000 0.3324
0.0000 0.0000 0.6676
0.5000 0.5000 0.1676
0.5000 0.5000 0.8324
0.1984 0.8016 0.1626
0.1960 0.8040 0.5000
0.1984 0.8016 0.8374
0.3040 0.3040 0.0000
0.3016 0.3016 0.3374
0.3016 0.3016 0.6626
0.6960 0.6960 0.0000
0.6984 0.6984 0.3374
0.6984 0.6984 0.6626
0.8016 0.1984 0.1626
0.8040 0.1960 0.5000
0.8016 0.1984 0.8374
```

=====

(9)
Here is a crystal of TlFeAg2 relaxed with PBEsol from Alexandria via LeMat-Bulk. Energies are from SCAN.

Computed properties:
Its space group is F-43m. The value obtained for the energy of formation from the pure elements is 373 meV/atom.

```
TlFeAg2
1.0
-4.3594 -1.3734 -0.2836
-1.1912 -4.1620 1.4932
-2.5154 -0.4354 3.8018
Ag Fe Tl
2 1 1
direct
0.0000 0.0000 0.0000
0.7500 0.7500 0.7500
0.5000 0.5000 0.5000
0.2500 0.2500 0.2500
```

=====

(10)
Here is a crystal of Tm2Al9Rh3 relaxed with PBEsol from Alexandria via LeMat-Bulk. Energies are from SCAN.

Computed properties:
Its space group is Cmcm. The value obtained for the energy of formation from the pure elements is -958 meV/atom.

```
Tm2Al9Rh3
1.0
-7.2902 -1.4845 0.4317
4.3388 -1.2319 5.9326
-1.5962 8.7037 2.9747
Tm Al Rh
4 18 6
direct
0.6728 0.9945 0.7500
0.3272 0.0055 0.2500
0.9945 0.6728 0.7500
0.0055 0.3272 0.2500
0.1273 0.1273 0.7500
0.8727 0.8727 0.2500
0.3359 0.9999 0.9241
0.6641 0.0001 0.0759
0.6641 0.0001 0.4241
0.9999 0.3359 0.5759
0.3359 0.9999 0.5759
0.0001 0.6641 0.4241
0.0001 0.6641 0.0759
0.9999 0.3359 0.9241
0.3322 0.3322 0.4485
0.6678 0.6678 0.5515
0.6678 0.6678 0.9485
0.3322 0.3322 0.0515
0.5525 0.3402 0.7500
0.4475 0.6598 0.2500
0.3402 0.5525 0.7500
0.6598 0.4475 0.2500
0.3277 0.6723 0.0000
0.6723 0.3277 0.0000
0.6723 0.3277 0.5000
0.3277 0.6723 0.5000
0.0000 0.0000 0.0000
0.0000 0.0000 0.5000
```

=====

(11)
Here is a crystal of Sc2PCl relaxed with PBEsol from Alexandria via LeMat-Bulk. Energies are from SCAN.

Computed properties:
The value obtained for the uncorrected formation energy is -5.30 eV/f.u. Its space group is P2/m.

```
Sc2PCl
1.0
3.3206 0.0000 0.0000
0.0000 3.3521 0.0160
0.0000 -0.0471 6.7618
Cl P Sc
1 1 2
direct
0.5000 0.0000 0.5000
0.5000 0.5000 0.0000
0.0000 0.9986 0.7906
0.0000 0.0014 0.2094
```

=====

(12)
Here is a crystal of NaSn3Bi relaxed with PBEsol from Alexandria via LeMat-Bulk. Energies are from SCAN.

Computed properties:
Its space group is Pm-3m. The value obtained for the energy of formation from the pure elements is 664 meV/atom.

```
NaSn3Bi
1.0
-0.6802 5.2769 0.4006
-0.7227 -0.4928 5.2635
5.2425 0.6167 0.7775
Na Bi Sn
1 1 3
direct
0.0000 0.0000 0.0000
0.5000 0.5000 0.5000
0.0000 0.5000 0.0000
0.0000 0.0000 0.5000
0.5000 0.0000 0.0000
```

=====

(13)
Here is a crystal of ScTl2 relaxed with PBEsol from Alexandria via LeMat-Bulk. Energies are from SCAN.

Computed properties:
Its space group is Fd-3m. The value obtained for the energy of formation from the pure elements is -256 meV/atom.

```
ScTl2
1.0
-4.6136 -6.7645 4.6555
4.3193 -4.7695 6.8784
-2.5329 1.3446 8.9719
Sc Tl
8 16
direct
0.3400 0.3400 0.3400
0.9800 0.3400 0.3400
0.3400 0.9800 0.3400
0.3400 0.3400 0.9800
0.9100 0.9100 0.9100
0.2700 0.9100 0.9100
0.9100 0.2700 0.9100
0.9100 0.9100 0.2700
0.1250 0.1250 0.6250
0.1250 0.6250 0.1250
0.6250 0.1250 0.1250
0.1250 0.1250 0.1250
0.9346 0.5654 0.5654
0.5654 0.9346 0.5654
0.5654 0.5654 0.9346
0.9346 0.9346 0.5654
0.9346 0.5654 0.9346
0.5654 0.9346 0.9346
0.3154 0.6846 0.6846
0.6846 0.3154 0.6846
0.6846 0.6846 0.3154
0.3154 0.3154 0.6846
0.3154 0.6846 0.3154
0.6846 0.3154 0.3154
```

=====

(14)
Here is a crystal of LiNbTe3O12 relaxed with PBEsol from Alexandria via LeMat-Bulk. Energies are from SCAN.

Computed properties:
The value obtained for the uncorrected formation energy is -24.60 eV/f.u. Its space group is P2. The value obtained for the energy above the most stable polymorph in this dataset is 0.54 kcal/mol of atoms.

```
LiNbTe3O12
1.0
4.9267 -0.0492 0.0000
-0.1450 5.2457 0.0000
0.0000 0.0000 8.4414
Li Nb Te O
1 1 3 12
direct
0.5000 0.5000 0.1947
0.0000 0.0000 0.1007
0.5000 0.0000 0.4242
0.5000 0.5000 0.6045
0.0000 0.5000 0.9134
0.7328 0.8811 0.2612
0.7117 0.8213 0.5859
0.7982 0.7997 0.9333
0.2974 0.6719 0.4310
0.2172 0.6796 0.0755
0.2491 0.6397 0.7516
0.7509 0.3603 0.7516
0.7828 0.3204 0.0755
0.7026 0.3281 0.4310
0.2018 0.2003 0.9333
0.2883 0.1787 0.5859
0.2672 0.1189 0.2612
```

=====

(15)
Here is a crystal of Mn5Os relaxed with PBEsol from Alexandria via LeMat-Bulk. Energies are from SCAN.

Computed properties:
Its space group is Cm. The value obtained for the energy of formation from the pure elements is 52 meV/atom.

```
Mn5Os
1.0
2.5472 0.0000 0.0000
-1.2736 4.5661 -0.0002
0.0000 -1.4850 5.6846
Mn Os
5 1
direct
0.9980 0.9960 0.0078
0.3923 0.7846 0.2831
0.6674 0.3347 0.3422
0.0504 0.1008 0.5992
0.3389 0.6777 0.6597
0.7198 0.4395 0.9413
```

=====

(16)
Here is a crystal of TbHg2 relaxed with PBEsol from Alexandria via LeMat-Bulk. Energies are from SCAN.

Computed properties:
Its space group is P6/mmm. The value obtained for the energy of formation from the pure elements is -584 meV/atom.

```
TbHg2
1.0
-1.0427 -3.2150 -0.0320
3.1785 -1.0657 3.5077
-4.4874 1.4439 1.1491
Tb Hg
1 2
direct
0.0000 0.0000 0.0000
0.5000 0.6667 0.3333
0.5000 0.3333 0.6667
```

=====

(17)
Here is a crystal of YSbSe2 relaxed with PBEsol from Alexandria via LeMat-Bulk. Energies are from SCAN.

Computed properties:
The value obtained for the uncorrected formation energy is -3.63 eV/f.u. Its space group is P4/mmm.

```
YSbSe2
1.0
-0.3264 0.1566 -3.5433
1.8064 -3.0548 -0.3014
-6.1128 -3.6544 0.4016
Sb Se Y
1 2 1
direct
0.5000 0.5000 0.5000
0.0000 0.0000 0.7860
0.0000 0.0000 0.2140
0.5000 0.5000 0.0000
```

=====

(18)
Here is a crystal of FeAsPt relaxed with PBEsol from Alexandria via LeMat-Bulk. Energies are from SCAN.

Computed properties:
Its space group is F-43m. The value obtained for the energy of formation from the pure elements is -85 meV/atom.

```
FeAsPt
1.0
-2.1512 -2.3432 -2.5054
0.6250 -4.0000 -0.0676
-2.8053 -2.5129 1.4869
As Fe Pt
1 1 1
direct
0.5000 0.5000 0.5000
0.2500 0.2500 0.2500
0.0000 0.0000 0.0000
```

=====

(19)
Here is a crystal of K2ZrTl relaxed with PBEsol from Alexandria via LeMat-Bulk. Energies are from SCAN.

Computed properties:
Its space group is R-3m. The value obtained for the energy above the most stable polymorph in this dataset is 2.38 kcal/mol of atoms. The value obtained for the energy of formation from the pure elements is 521 meV/atom.

```
K2ZrTl
1.0
3.3305 0.0000 0.0000
1.6653 2.8843 0.0000
1.6653 0.9614 12.9923
K Tl Zr
2 1 1
direct
0.2473 0.2473 0.2582
0.7527 0.7527 0.7418
0.5000 0.5000 0.5000
0.0000 0.0000 0.0000
```

=====

(20)
Here is a crystal of Ca2Al3Si3O13 relaxed with PBEsol from Alexandria via LeMat-Bulk. Energies are from SCAN.

Computed properties:
The value obtained for the uncorrected formation energy is -66.49 eV/f.u. Its space group is P2_1/m. The value obtained for the energy above the most stable polymorph in this dataset is 0.14 kcal/mol of atoms.

```
Ca2Al3Si3O13
1.0
5.6005 0.0000 0.0000
0.0000 8.7833 0.0757
0.0000 -4.1440 9.1301
Ca Al Si O
4 6 6 26
direct
0.7500 0.3870 0.1335
0.2500 0.6130 0.8665
0.7500 0.8429 0.4326
0.2500 0.1571 0.5674
0.0000 0.0000 0.0000
0.5000 0.0000 0.0000
0.7500 0.0667 0.7731
0.2500 0.9333 0.2269
0.0000 0.5000 0.5000
0.5000 0.5000 0.5000
0.7500 0.4227 0.7411
0.2500 0.5773 0.2589
0.7500 0.1316 0.3209
0.2500 0.8684 0.6791
0.7500 0.7106 0.0606
0.2500 0.2894 0.9394
0.7500 0.9323 0.8730
0.2500 0.0677 0.1270
0.7500 0.6683 0.1999
0.2500 0.3317 0.8001
0.9960 0.8089 0.0505
0.0040 0.1911 0.9495
0.4960 0.1911 0.9495
0.5040 0.8089 0.0505
0.7500 0.2261 0.7000
0.2500 0.7739 0.3000
0.7500 0.1098 0.1477
0.2500 0.8902 0.8523
0.9772 0.4961 0.6828
0.0228 0.5039 0.3172
0.4772 0.5039 0.3172
0.5228 0.4961 0.6828
0.9864 0.0380 0.3522
0.0136 0.9620 0.6478
0.4864 0.9620 0.6478
0.5136 0.0380 0.3522
0.7500 0.6461 0.5312
0.2500 0.3539 0.4688
0.7500 0.5232 0.9219
0.2500 0.4768 0.0781
0.7500 0.3306 0.4272
0.2500 0.6694 0.5728
```

=====

(21)
Here is a crystal of SrHoNiTe3 relaxed with PBEsol from Alexandria via LeMat-Bulk. Energies are from SCAN.

Computed properties:
The value obtained for the uncorrected formation energy is -7.31 eV/f.u. Its space group is Cmcm.

```
SrHoNiTe3
1.0
4.1673 0.0000 0.0000
-2.0836 7.1401 0.0000
0.0000 0.0000 11.0353
Sr Te Ho Ni
2 6 2 2
direct
0.2495 0.4991 0.7500
0.7505 0.5009 0.2500
0.3573 0.7147 0.0678
0.9266 0.8532 0.7500
0.6427 0.2853 0.5678
0.6427 0.2853 0.9322
0.3573 0.7147 0.4322
0.0734 0.1468 0.2500
0.0000 0.0000 0.5000
0.0000 0.0000 0.0000
0.4716 0.9431 0.2500
0.5284 0.0569 0.7500
```

=====

(22)
Here is a crystal of ReTeMo2 relaxed with PBEsol from Alexandria via LeMat-Bulk. Energies are from SCAN.

Computed properties:
The value obtained for the uncorrected formation energy is 1.79 eV/f.u. Its space group is Imm2.

```
ReTeMo2
1.0
-1.8246 -0.5536 2.5663
1.8600 -3.9741 0.4651
3.1996 4.0832 1.1641
Mo Re Te
2 1 1
direct
0.9906 0.9906 0.9812
0.7539 0.2539 0.5078
0.5070 0.5070 0.0140
0.2485 0.7485 0.4969
```

=====

(23)
Here is a crystal of Sc3AuN relaxed with PBEsol from Alexandria via LeMat-Bulk. Energies are from SCAN.

Computed properties:
The value obtained for the uncorrected formation energy is -7.11 eV/f.u. Its space group is Pm-3m.

```
Sc3AuN
1.0
-3.3950 0.4553 2.6857
1.8403 -2.7806 2.7978
2.0083 3.3177 1.9763
Sc Au N
3 1 1
direct
0.0000 0.5000 0.0000
0.0000 0.0000 0.5000
0.5000 0.0000 0.0000
0.5000 0.5000 0.5000
0.0000 0.0000 0.0000
```

=====

Number 1: magnetic moment 0.000 μB per formula unit. Number 2: magnetic moment 3.167 μB per formula unit. Number 3: magnetic moment 3.002 μB per formula unit. Number 4: magnetic moment 0.000 μB per formula unit. Number 5: magnetic moment 0.001 μB per formula unit. Number 6: magnetic moment 4.674 μB per formula unit. Number 7: magnetic moment 0.000 μB per formula unit. Number 8: magnetic moment 5.000 μB per formula unit. Number 9: magnetic moment 2.942 μB per formula unit. Number 10: magnetic moment 0.000 μB per formula unit. Number 11: magnetic moment 1.633 μB per formula unit. Number 12: magnetic moment 0.000 μB per formula unit. Number 13: magnetic moment 0.000 μB per formula unit. Number 14: magnetic moment 0.000 μB per formula unit. Number 15: magnetic moment 0.771 μB per formula unit. Number 16: magnetic moment 0.225 μB per formula unit. Number 17: magnetic moment 0.000 μB per formula unit. Number 18: magnetic moment 3.083 μB per formula unit. Number 19: magnetic moment 0.001 μB per formula unit. Number 20: magnetic moment 1.006 μB per formula unit. Number 21: magnetic moment 0.834 μB per formula unit. Number 22: magnetic moment 0.000 μB per formula unit. Number 23: magnetic moment 0.377 μB per formula unit.